Sm12TmHg6 after structural relaxation, computed with PBE-GGA.

Unit cell a=9.1196 b=9.1196 c=9.1196 alpha=110.49 beta=110.49 gamma=110.49
Last column: nearest neighbours and their distance in Å.
Fractional coordinates of all 19 atoms:
Sm 0.0277 0.2838 0.2073  2 Hg 3.16-3.38, 4 Sm 3.29-3.46, 1 Tm 3.45
Sm 0.2073 0.0277 0.2838  2 Hg 3.16-3.38, 4 Sm 3.29-3.46, 1 Tm 3.45
Sm 0.2407 0.5842 0.7057  4 Hg 3.22-3.44, 2 Sm 3.29-3.46
Sm 0.2838 0.2073 0.0277  2 Hg 3.16-3.38, 4 Sm 3.29-3.46, 1 Tm 3.45
Sm 0.2943 0.7593 0.4158  4 Hg 3.22-3.44, 2 Sm 3.29-3.46
Sm 0.4158 0.2943 0.7593  4 Hg 3.22-3.44, 2 Sm 3.29-3.46
Sm 0.5842 0.7057 0.2407  4 Hg 3.22-3.44, 2 Sm 3.29-3.46
Sm 0.7057 0.2407 0.5842  4 Hg 3.22-3.44, 2 Sm 3.29-3.46
Sm 0.7162 0.7927 0.9723  2 Hg 3.16-3.38, 4 Sm 3.29-3.46, 1 Tm 3.45
Sm 0.7593 0.4158 0.2943  4 Hg 3.22-3.44, 2 Sm 3.29-3.46
Sm 0.7927 0.9723 0.7162  2 Hg 3.16-3.38, 4 Sm 3.29-3.46, 1 Tm 3.45
Sm 0.9723 0.7162 0.7927  2 Hg 3.16-3.38, 4 Sm 3.29-3.46, 1 Tm 3.45
Tm 0.5000 0.5000 0.5000  12 Sm 3.45-3.62
Hg 0.0381 0.8647 0.5422  1 Hg 3.05, 5 Sm 3.16-3.39
Hg 0.1353 0.4578 0.9619  1 Hg 3.05, 5 Sm 3.16-3.39
Hg 0.4578 0.9619 0.1353  1 Hg 3.05, 5 Sm 3.16-3.39
Hg 0.5422 0.0381 0.8647  1 Hg 3.05, 5 Sm 3.16-3.39
Hg 0.8647 0.5422 0.0381  1 Hg 3.05, 5 Sm 3.16-3.39
Hg 0.9619 0.1353 0.4578  1 Hg 3.05, 5 Sm 3.16-3.39

Formation energy from the elements, eV per atom: -0.185
Total magnetic moment, μB per cell: 0.0
Fermi-level density of states, states/eV/atom: 1.063
Theoretical density, Mg/m³: 9.41